[1]
Entry from the Alexandria database: crystalline CdFePt2 at its relaxed geometry (PBE).

The value obtained for the theoretical density is 14.6 Mg/m³. The crystal system is tetragonal. Its formation enthalpy at 0 K is -0.186 eV per atom.

The space group is I4/mmm (No. 139) and the conventional cell measures 4.0675, 4.0675 and 7.6730 Å, with angles of 90.00, 90.00 and 90.00 degrees. Symmetry generates all atoms from Cd at (0.0000, 0.0000, 0.0000), Fe at (0.0000, 0.0000, 0.5000) and Pt at (0.0000, 0.5000, 0.2500).

[2]
Entry from the Alexandria database: crystalline Tm2ZnOs at its relaxed geometry (PBE).

The offset from the most stable computed form is 0.0 meV per atom. The value obtained for the theoretical density is 11.9 Mg/m³. The crystal system is tetragonal. Its formation enthalpy at 0 K is -0.366 eV per atom.

The space group is P4/mmm (No. 123) and the conventional cell measures 3.4033, 3.4033 and 7.1220 Å, with angles of 90.00, 90.00 and 90.00 degrees. Symmetry generates all atoms from Tm at (0.0000, 0.0000, 0.2292), Zn at (0.5000, 0.5000, 0.5000) and Os at (0.5000, 0.5000, 0.0000).